Compound: CaScHg
Source: the Alexandria database
Functional: PBEsol
Structure: relaxed

Lattice parameters (Å, degrees): 4.822 4.822 4.822 60.00 60.00 60.00
Fractional positions:
1 Hg 0.500 0.500 0.500
2 Sc 0.250 0.250 0.250
3 Ca 0.000 0.000 0.000

Formation enthalpy at 0 K   0.23 eV/atom
Distance to the lowest polymorph of the same formula   363 meV per atom
Symmetry   No. 216
Volume   26.42 A^3/atom
Spin magnetization   0.0 μB per cell
E   -2.876 eV per atom